YZrIr, optimized geometry, DFT PBE-GGA; symmetry = P2_1/m (11); energy relative to the lowest polymorph listed for this composition = 128 meV per atom
1.0
5.8435 -0.1630 -0.1284
1.6949 7.0124 -0.1772
1.6901 1.2619 6.9014
Y Zr Ir
4 4 4
direct
0.2183 0.6630 0.9133
0.7817 0.3370 0.0867
0.2184 0.1632 0.4130
0.7816 0.8368 0.5870
0.6703 0.3602 0.6101
0.3298 0.1395 0.8894
0.6702 0.8605 0.1106
0.3297 0.6398 0.3899
0.9106 0.5632 0.3131
0.0897 0.9369 0.1868
0.9103 0.0631 0.8132
0.0894 0.4368 0.6869